Entry 1:
# PBE YBe2O, relaxed
data_YBe2O
_chemical_formula_sum 'Y4 Be8 O4'
_symmetry_space_group_name_H-M 'I -4 2 d'
_symmetry_Int_Tables_number 122
_symmetry_space_group_name_Hall 'I -4 2bw'
_cell_length_a 5.496
_cell_length_b 5.496
_cell_length_c 7.788
_cell_angle_alpha 90.00
_cell_angle_beta 90.00
_cell_angle_gamma 90.00
loop_
_atom_site_label
_atom_site_fract_x
_atom_site_fract_y
_atom_site_fract_z
Y1 0.000 0.000 0.000
Be1 0.007 0.750 0.625
O1 0.000 0.000 0.500
# Electronic total energy, eV per atom: -5.24
# Formation energy from raw total energies, meV per atom: -518

***

Entry 2:
# PBE Y3BeO, relaxed
data_Y3BeO
_chemical_formula_sum 'Y3 Be1 O1'
_symmetry_space_group_name_H-M 'P m -3 m'
_symmetry_Int_Tables_number 221
_symmetry_space_group_name_Hall '-P 4 2 3'
_cell_length_a 4.697
_cell_length_b 4.697
_cell_length_c 4.697
_cell_angle_alpha 90.00
_cell_angle_beta 90.00
_cell_angle_gamma 90.00
loop_
_atom_site_label
_atom_site_fract_x
_atom_site_fract_y
_atom_site_fract_z
Y1 0.000 0.000 0.500
Be1 0.500 0.500 0.500
O1 0.000 0.000 0.000
# Relative energy among the computed polymorphs, meV/atom: 0.0
# Electronic total energy, eV per atom: -6.67
# Formation energy from raw total energies, meV per atom: -1051

***

Entry 3:
# PBE Y2BeO4, relaxed
data_Y2BeO4
_chemical_formula_sum 'Y8 Be4 O16'
_symmetry_space_group_name_H-M 'P n m a'
_symmetry_Int_Tables_number 62
_cell_length_a 10.478
_cell_length_b 3.564
_cell_length_c 10.009
_cell_angle_alpha 90.00
_cell_angle_beta 90.00
_cell_angle_gamma 90.00
loop_
_symmetry_equiv_pos_as_xyz
'x,y,z'
'-x,-y,-z'
'-x+1/2,-y,z+1/2'
'x+1/2,y,-z+1/2'
'x+1/2,-y+1/2,-z+1/2'
'-x+1/2,y+1/2,z+1/2'
'-x,y+1/2,-z'
'x,-y+1/2,z'
loop_
_atom_site_label
_atom_site_fract_x
_atom_site_fract_y
_atom_site_fract_z
Y1 0.090 0.250 0.179
Y2 0.117 0.250 0.588
Be1 0.193 0.250 0.874
O1 0.014 0.250 0.386
O2 0.046 0.250 0.849
O3 0.222 0.750 0.246
O4 0.248 0.250 0.017
# Relative energy among the computed polymorphs, meV/atom: 0.0
# Electronic total energy, eV per atom: -8.51
# Formation energy from raw total energies, meV per atom: -3297

***

Entry 4:
# PBE YBeO3, relaxed
data_YBeO3
_chemical_formula_sum 'Y1 Be1 O3'
_symmetry_space_group_name_H-M 'P m -3 m'
_symmetry_Int_Tables_number 221
_symmetry_space_group_name_Hall '-P 4 2 3'
_cell_length_a 4.260
_cell_length_b 4.260
_cell_length_c 4.260
_cell_angle_alpha 90.00
_cell_angle_beta 90.00
_cell_angle_gamma 90.00
loop_
_atom_site_label
_atom_site_fract_x
_atom_site_fract_y
_atom_site_fract_z
Y1 0.000 0.000 0.000
Be1 0.500 0.500 0.500
O1 0.000 0.000 0.500
# Electronic total energy, eV per atom: -5.82
# Formation energy from raw total energies, meV per atom: -804

***

no.,calculated volume (Å³/cell)
1,235.2
2,103.6
3,373.8
4,77.3